{"formula": "ZrNiSn2", "functional": "PBE", "state": "optimized geometry", "cell": [[4.0592, 0.0000, 0.0000], [0.0000, 3.9972, 4.8962], [0.0000, -3.9972, 4.8962]], "species": ["Sn", "Zr", "Zr", "Sn", "Ni", "Sn", "Ni", "Sn"], "fractional_positions": [[0.0000, 0.4111, 0.8239], [0.5000, 0.1706, 0.6141], [0.5000, 0.6141, 0.1706], [0.5000, 0.1371, 0.1371], [0.0000, 0.3048, 0.3048], [0.0000, 0.8657, 0.8657], [0.5000, 0.6727, 0.6727], [0.0000, 0.8239, 0.4111]], "final_energy_ev_per_atom": -5.768, "vol_a3_per_atom": 19.860}